K2PH3SO8 PBE-GGA optimized geometry; E_tot = -5.818 eV/atom; density of states at the Fermi level = 0.000 states/eV/atom
1.0
7.4802 0.0000 0.0000
0.1931 9.7348 0.0000
0.3494 0.2752 11.2256
K P H S O
8 4 12 4 32
direct
0.1951 0.1061 0.1971 K
0.1961 0.6059 0.6971 K
0.2972 0.0918 0.7022 K
0.2981 0.5921 0.2020 K
0.7019 0.4079 0.7980 K
0.7028 0.9082 0.2978 K
0.8039 0.3941 0.3029 K
0.8049 0.8939 0.8029 K
0.2959 0.3385 0.4228 P
0.2976 0.8377 0.9227 P
0.7024 0.1623 0.0773 P
0.7041 0.6615 0.5772 P
0.0000 0.0000 0.5000 H
0.0000 0.5000 0.0000 H
0.0745 0.3322 0.5578 H
0.0764 0.8316 0.0580 H
0.4918 0.3262 0.0617 H
0.4943 0.8262 0.5615 H
0.5000 0.0000 0.0000 H
0.5000 0.5000 0.5000 H
0.5057 0.1738 0.4385 H
0.5082 0.6738 0.9383 H
0.9236 0.1684 0.9420 H
0.9255 0.6678 0.4422 H
0.2039 0.3358 0.9259 S
0.2055 0.8365 0.4261 S
0.7945 0.1635 0.5739 S
0.7961 0.6642 0.0741 S
0.0487 0.4402 0.9109 O
0.0501 0.9407 0.4110 O
0.1293 0.1953 0.9207 O
0.1313 0.6959 0.4215 O
0.1626 0.3558 0.3266 O
0.1637 0.8548 0.8268 O
0.2071 0.3546 0.5532 O
0.2092 0.8533 0.0533 O
0.2814 0.3569 0.0442 O
0.2835 0.8582 0.5442 O
0.3349 0.3576 0.8274 O
0.3361 0.8582 0.3274 O
0.3753 0.1844 0.4188 O
0.3777 0.6839 0.9183 O
0.4559 0.4368 0.4150 O
0.4570 0.9365 0.9148 O
0.5430 0.0635 0.0852 O
0.5441 0.5632 0.5850 O
0.6223 0.3161 0.0817 O
0.6247 0.8156 0.5812 O
0.6639 0.1418 0.6726 O
0.6651 0.6424 0.1726 O
0.7165 0.1418 0.4558 O
0.7186 0.6431 0.9558 O
0.7908 0.1467 0.9467 O
0.7929 0.6454 0.4468 O
0.8363 0.1452 0.1732 O
0.8374 0.6442 0.6734 O
0.8687 0.3041 0.5785 O
0.8707 0.8047 0.0793 O
0.9499 0.0593 0.5890 O
0.9513 0.5598 0.0891 O

=====

K4PH5Se3O16 PBE-GGA optimized geometry; E_tot = -5.334 eV/atom; density of states at the Fermi level = 0.000 states/eV/atom
1.0
7.6099 0.0000 0.0000
0.6438 7.8444 0.0000
0.4050 2.6009 7.4554
K P H Se O
4 1 5 3 16
direct
0.0000 0.0000 0.0000 K
0.0574 0.4866 0.4349 K
0.3703 0.5554 0.8804 K
0.6895 0.9450 0.5460 K
0.5677 0.4690 0.4083 P
0.2836 0.1679 0.2430 H
0.4051 0.6786 0.1859 H
0.5261 0.2770 0.6862 H
0.6633 0.7511 0.2971 H
0.7723 0.3220 0.1906 H
0.1572 0.9635 0.4964 Se
0.4987 0.0161 0.0184 Se
0.9025 0.5239 0.9375 Se
0.0149 0.6115 0.0594 O
0.0314 0.0184 0.6495 O
0.0307 0.4695 0.7854 O
0.0431 0.8765 0.3755 O
0.2188 0.1788 0.3567 O
0.3421 0.8419 0.5700 O
0.3683 0.1835 0.0534 O
0.3722 0.8457 0.0333 O
0.4087 0.5475 0.2794 O
0.4791 0.4015 0.6013 O
0.5956 0.0939 0.8154 O
0.6566 0.9399 0.1718 O
0.6790 0.3179 0.3698 O
0.6830 0.6290 0.4012 O
0.7191 0.6466 0.8595 O
0.8399 0.3100 0.0777 O

=====

K2PH4Se3O2 PBE-GGA optimized geometry; E_tot = -4.385 eV/atom; density of states at the Fermi level = 0.000 states/eV/atom
1.0
5.9653 -6.5249 0.0000
5.9653 6.5249 0.0000
0.0000 0.0000 11.9423
K P H Se O
8 4 16 12 8
direct
0.0231 0.9769 0.8582 K
0.0817 0.4183 0.7500 K
0.4183 0.0817 0.2500 K
0.4769 0.5231 0.3582 K
0.5231 0.4769 0.6418 K
0.5817 0.9183 0.7500 K
0.9183 0.5817 0.2500 K
0.9769 0.0231 0.1418 K
0.0805 0.9195 0.5401 P
0.4195 0.5805 0.0401 P
0.5805 0.4195 0.9599 P
0.9195 0.0805 0.4599 P
0.0790 0.7021 0.0135 H
0.0977 0.3172 0.0022 H
0.1828 0.4023 0.4978 H
0.2021 0.5790 0.5135 H
0.2979 0.9210 0.0135 H
0.3172 0.0977 0.9978 H
0.4023 0.1828 0.5022 H
0.4210 0.7979 0.5135 H
0.5790 0.2021 0.4865 H
0.5977 0.8172 0.4978 H
0.6828 0.9023 0.0022 H
0.7021 0.0790 0.9865 H
0.7979 0.4210 0.4865 H
0.8172 0.5977 0.5022 H
0.9023 0.6828 0.9978 H
0.9210 0.2979 0.9865 H
0.0654 0.2438 0.3583 Se
0.1895 0.8105 0.3977 Se
0.2438 0.0654 0.6417 Se
0.2562 0.4346 0.1417 Se
0.3105 0.6895 0.8977 Se
0.4346 0.2562 0.8583 Se
0.5654 0.7438 0.1417 Se
0.6895 0.3105 0.1023 Se
0.7438 0.5654 0.8583 Se
0.7562 0.9346 0.3583 Se
0.8105 0.1895 0.6023 Se
0.9346 0.7562 0.6417 Se
0.0160 0.2622 0.9566 O
0.2378 0.4840 0.5434 O
0.2622 0.0160 0.0434 O
0.4840 0.2378 0.4566 O
0.5160 0.7622 0.5434 O
0.7378 0.9840 0.9566 O
0.7622 0.5160 0.4566 O
0.9840 0.7378 0.0434 O

=====

K4PH5Se3O16 PBE-GGA optimized geometry; E_tot = -5.334 eV/atom; density of states at the Fermi level = 0.000 states/eV/atom
1.0
7.8654 0.0000 0.0000
2.6169 7.4611 0.0000
1.2439 0.3998 15.1769
K P H Se O
8 2 10 6 32
direct
0.1881 0.3370 0.3303 K
0.2004 0.3297 0.8298 K
0.2542 0.7840 0.4891 K
0.2588 0.7812 0.9831 K
0.7412 0.2188 0.0169 K
0.7458 0.2160 0.5109 K
0.7996 0.6703 0.1702 K
0.8119 0.6630 0.6697 K
0.2755 0.8065 0.2314 P
0.7245 0.1935 0.7686 P
0.0058 0.0815 0.8172 H
0.0661 0.0279 0.3125 H
0.4214 0.0241 0.1299 H
0.4254 0.0289 0.6262 H
0.4670 0.5284 0.2509 H
0.5330 0.4716 0.7491 H
0.5746 0.9711 0.3738 H
0.5786 0.9759 0.8701 H
0.9339 0.9721 0.6875 H
0.9942 0.9185 0.1828 H
0.2197 0.2802 0.5631 Se
0.2206 0.2786 0.0643 Se
0.2719 0.8033 0.7348 Se
0.7281 0.1967 0.2652 Se
0.7794 0.7214 0.9357 Se
0.7803 0.7198 0.4369 Se
0.0988 0.3518 0.6558 O
0.0986 0.3582 0.1558 O
0.1010 0.8169 0.6721 O
0.1165 0.8153 0.1727 O
0.1300 0.1585 0.0086 O
0.1344 0.1578 0.5059 O
0.1958 0.9331 0.3115 O
0.1958 0.9572 0.8134 O
0.2716 0.4351 0.5003 O
0.2781 0.4286 0.0000 O
0.3425 0.6126 0.2745 O
0.3498 0.6009 0.7839 O
0.4274 0.8465 0.1771 O
0.4336 0.1366 0.0955 O
0.4362 0.1418 0.5933 O
0.4387 0.8382 0.6691 O
0.5613 0.1618 0.3309 O
0.5638 0.8582 0.4067 O
0.5664 0.8634 0.9045 O
0.5726 0.1535 0.8229 O
0.6502 0.3991 0.2161 O
0.6575 0.3874 0.7255 O
0.7219 0.5714 0.0000 O
0.7284 0.5649 0.4997 O
0.8042 0.0428 0.1866 O
0.8042 0.0669 0.6885 O
0.8656 0.8422 0.4941 O
0.8700 0.8415 0.9914 O
0.8835 0.1847 0.8273 O
0.8990 0.1831 0.3279 O
0.9014 0.6418 0.8442 O
0.9012 0.6482 0.3442 O